No. 1
PmGdIn4 | PBE-GGA | optimized geometry

Results
Crystal system = cubic
ΔH_f (0 K) = -0.396 eV per atom
SG = F-43m

Lattice parameters (Å, degrees): 6.042 6.042 6.042 60.00 60.00 60.00
Each line ends with the local moment (μB).
Sites, in units of the cell vectors:
In 0.625 0.125 0.625  0.01
In 0.625 0.625 0.625  0.01
In 0.625 0.625 0.125  0.01
Pm 0.250 0.250 0.250  -0.09
Gd 0.000 0.000 0.000  -7.17
In 0.125 0.625 0.625  0.01

---

No. 2
La2Pm4Er5 | PBE-GGA | optimized geometry

Results
Crystal system = monoclinic
ΔH_f (0 K) = 0.119 eV per atom
SG = C2/m
Energy above the most stable polymorph in this dataset = 0.096 eV/atom

Lattice parameters (Å, degrees): 3.536 8.749 14.503 122.96 97.00 90.00
Sites, in units of the cell vectors:
Er 0.129 0.214 0.258
Er 0.186 0.899 0.371
Pm 0.413 0.521 0.825
Pm 0.042 0.744 0.084
Er 0.814 0.101 0.629
Pm 0.587 0.479 0.175
La 0.727 0.631 0.455
Er 0.871 0.786 0.742
Er 0.500 0.000 0.000
La 0.273 0.369 0.545
Pm 0.958 0.256 0.916

---

No. 3
DyCd2Ag2 | PBE-GGA | optimized geometry

Results
Crystal system = triclinic
ΔH_f (0 K) = -0.219 eV per atom
SG = P-1
Energy above the most stable polymorph in this dataset = 0.000 eV/atom

Lattice parameters (Å, degrees): 5.746 4.993 4.990 59.32 88.42 114.19
Sites, in units of the cell vectors:
Ag 0.226 0.818 0.582
Dy 0.000 0.000 0.000
Cd 0.356 0.572 0.207
Cd 0.644 0.428 0.793
Ag 0.774 0.182 0.418

---

No. 4
CaCd2Cu | PBE-GGA | optimized geometry

Results
Crystal system = orthorhombic
ΔH_f (0 K) = -0.240 eV per atom
SG = Pnma

Lattice parameters (Å, degrees): 5.561 7.993 15.932 90.00 90.00 90.00
Sites, in units of the cell vectors:
Cu 0.459 0.750 0.432
Cd 0.747 0.943 0.037
Cd 0.947 0.444 0.214
Cd 0.747 0.557 0.037
Cd 0.553 0.444 0.714
Ca 0.754 0.250 0.893
Cd 0.447 0.944 0.286
Cd 0.253 0.443 0.963
Cu 0.541 0.250 0.568
Cu 0.959 0.250 0.068
Cd 0.753 0.943 0.537
Cu 0.240 0.250 0.316
Ca 0.246 0.750 0.107
Cd 0.253 0.057 0.963
Ca 0.453 0.250 0.139
Cd 0.447 0.556 0.286
Cu 0.260 0.250 0.816
Ca 0.746 0.250 0.393
Cd 0.053 0.944 0.786
Ca 0.047 0.250 0.639
Ca 0.547 0.750 0.861
Cd 0.553 0.056 0.714
Cu 0.740 0.750 0.184
Ca 0.254 0.750 0.607
Cd 0.053 0.556 0.786
Cd 0.753 0.557 0.537
Cu 0.760 0.750 0.684
Cd 0.247 0.443 0.463
Cd 0.247 0.057 0.463
Cd 0.947 0.056 0.214
Cu 0.041 0.750 0.932
Ca 0.953 0.750 0.361

---

- What is the formula in the first record?
  PmGdIn4